Density functional theory data (PBE-GGA) for a relaxed RbTaB crystal.

Unit cell a=6.271 b=6.271 c=6.271 alpha=90.00 beta=90.00 gamma=90.00
Element x y z (fractional)
Rb (0.000, 0.000, 0.000)
Rb (0.000, 0.500, 0.500)
Rb (0.500, 0.000, 0.500)
Rb (0.500, 0.500, 0.000)
Ta (0.250, 0.250, 0.750)
Ta (0.250, 0.750, 0.250)
Ta (0.750, 0.250, 0.250)
Ta (0.750, 0.750, 0.750)
B (0.000, 0.000, 0.500)
B (0.000, 0.500, 0.000)
B (0.500, 0.000, 0.000)
B (0.500, 0.500, 0.500)

Computed properties:
E_tot: -4.025 eV/atom
Theoretical density: 7.468 g/cm³
Spin magnetization: 3.588 μB per cell
ΔE to the lowest computed polymorph: 59 kJ/mol of formula units